Here is a relaxed YMgInBr6 crystal from Alexandria. Energies are from PBE.

CIF file:
```
data_YMgInBr6
_symmetry_space_group_name_H-M 'P -3 1 c'
_symmetry_Int_Tables_number 163
_symmetry_space_group_name_Hall '-P 3 2c'
_cell_length_a 7.1634
_cell_length_b 7.1634
_cell_length_c 14.5283
_cell_angle_alpha 90.00
_cell_angle_beta 90.00
_cell_angle_gamma 120.00
loop_
_atom_site_label
_atom_site_type_symbol
_atom_site_fract_x
_atom_site_fract_y
_atom_site_fract_z
Y1 Y 0.3333 0.6667 0.2500
Mg1 Mg 0.3333 0.6667 0.7500
In1 In 0.0000 0.0000 0.0000
Br1 Br 0.0114 0.3764 0.6409
```

uncorrected formation energy: -1.474 eV/atom


Here is a relaxed Nb3CdSi crystal from Alexandria. Energies are from PBE.

CIF file:
```
data_Nb3CdSi
_symmetry_space_group_name_H-M 'P m -3 m'
_symmetry_Int_Tables_number 221
_symmetry_space_group_name_Hall '-P 4 2 3'
_cell_length_a 4.950
_cell_length_b 4.950
_cell_length_c 4.950
_cell_angle_alpha 90.00
_cell_angle_beta 90.00
_cell_angle_gamma 90.00
loop_
_atom_site_label
_atom_site_type_symbol
_atom_site_fract_x
_atom_site_fract_y
_atom_site_fract_z
Nb1 Nb 0.000 0.000 0.500
Cd1 Cd 0.000 0.000 0.000
Si1 Si 0.500 0.500 0.500
```

uncorrected formation energy: 2.003 eV/atom


Here is a relaxed Sr2PmTcN4 crystal from Alexandria. Energies are from PBE.

CIF file:
```
data_Sr2PmTcN4
_symmetry_space_group_name_H-M 'P m n 21'
_symmetry_Int_Tables_number 31
_cell_length_a 7.820
_cell_length_b 7.133
_cell_length_c 5.376
_cell_angle_alpha 90.00
_cell_angle_beta 90.00
_cell_angle_gamma 90.00
loop_
_symmetry_equiv_pos_as_xyz
'x,y,z'
'-x+1/2,-y,z+1/2'
'-x,y,z'
'x+1/2,-y,z+1/2'
loop_
_atom_site_label
_atom_site_type_symbol
_atom_site_fract_x
_atom_site_fract_y
_atom_site_fract_z
Sr1 Sr 0.246 0.158 0.000
Pm1 Pm 0.000 0.361 0.501
Tc1 Tc 0.000 0.660 0.055
N1 N 0.000 0.390 0.003
N2 N 0.000 0.665 0.407
N3 N 0.210 0.775 0.981
```

uncorrected formation energy: -0.675 eV/atom


Here is a relaxed CeErCuSi crystal from Alexandria. Energies are from PBE.

CIF file:
```
data_CeErCuSi
_symmetry_space_group_name_H-M 'F -4 3 m'
_symmetry_Int_Tables_number 216
_symmetry_space_group_name_Hall 'F -4 2 3'
_cell_length_a 7.011
_cell_length_b 7.011
_cell_length_c 7.011
_cell_angle_alpha 90.00
_cell_angle_beta 90.00
_cell_angle_gamma 90.00
loop_
_atom_site_label
_atom_site_type_symbol
_atom_site_fract_x
_atom_site_fract_y
_atom_site_fract_z
Ce1 Ce 0.000 0.000 0.000
Er1 Er 0.000 0.000 0.500
Cu1 Cu 0.250 0.250 0.250
Si1 Si 0.250 0.250 0.750
```

uncorrected formation energy: -0.354 eV/atom


Here is a relaxed CrAsRu2 crystal from Alexandria. Energies are from PBE.

CIF file:
```
data_CrAsRu2
_symmetry_space_group_name_H-M 'P 4/m m m'
_symmetry_Int_Tables_number 123
_symmetry_space_group_name_Hall '-P 4 2'
_cell_length_a 2.879
_cell_length_b 2.879
_cell_length_c 6.597
_cell_angle_alpha 90.00
_cell_angle_beta 90.00
_cell_angle_gamma 90.00
loop_
_atom_site_label
_atom_site_type_symbol
_atom_site_fract_x
_atom_site_fract_y
_atom_site_fract_z
Cr1 Cr 0.000 0.000 0.000
As1 As 0.000 0.000 0.500
Ru1 Ru 0.500 0.500 0.253
```

energy of formation from the pure elements: 0.072 eV/atom


Here is a relaxed RbBiPb2O4 crystal from Alexandria. Energies are from PBE.

CIF file:
```
data_RbBiPb2O4
_symmetry_space_group_name_H-M 'P 1'
_symmetry_Int_Tables_number 1
_cell_length_a 7.573
_cell_length_b 7.583
_cell_length_c 8.061
_cell_angle_alpha 114.89
_cell_angle_beta 114.98
_cell_angle_gamma 95.91
loop_
_symmetry_equiv_pos_as_xyz
'x,y,z'
loop_
_atom_site_label
_atom_site_type_symbol
_atom_site_fract_x
_atom_site_fract_y
_atom_site_fract_z
Rb1 Rb 0.000 0.000 0.000
Rb2 Rb 0.488 0.969 0.000
Bi1 Bi 0.482 0.975 0.514
Bi2 Bi 0.520 0.509 0.514
Pb1 Pb 0.046 0.489 0.491
Pb2 Pb 0.438 0.420 0.901
Pb3 Pb 0.934 0.973 0.491
Pb4 Pb 0.952 0.451 0.901
O1 O 0.142 0.628 0.825
O2 O 0.171 0.166 0.825
O3 O 0.276 0.313 0.533
O4 O 0.334 0.707 0.548
O5 O 0.615 0.184 0.838
O6 O 0.702 0.811 0.548
O7 O 0.712 0.623 0.838
O8 O 0.745 0.190 0.533
```

uncorrected formation energy: -1.201 eV/atom


Here is a relaxed Cs2TlSn2F7 crystal from Alexandria. Energies are from PBE.

CIF file:
```
data_Cs2TlSn2F7
_symmetry_space_group_name_H-M 'C 1 2/m 1'
_symmetry_Int_Tables_number 12
_cell_length_a 6.406
_cell_length_b 7.485
_cell_length_c 12.300
_cell_angle_alpha 90.00
_cell_angle_beta 103.75
_cell_angle_gamma 90.00
loop_
_symmetry_equiv_pos_as_xyz
'x,y,z'
'-x,-y,-z'
'-x,y,-z'
'x,-y,z'
'x+1/2,y+1/2,z'
'-x+1/2,-y+1/2,-z'
'-x+1/2,y+1/2,-z'
'x+1/2,-y+1/2,z'
loop_
_atom_site_label
_atom_site_type_symbol
_atom_site_fract_x
_atom_site_fract_y
_atom_site_fract_z
Cs1 Cs 0.196 0.000 0.370
Tl1 Tl 0.000 0.000 0.000
Sn1 Sn 0.131 0.500 0.193
F1 F 0.000 0.500 0.000
F2 F 0.116 0.311 0.809
F3 F 0.179 0.500 0.384
```

uncorrected formation energy: -2.347 eV/atom


Here is a relaxed SmTaGe2 crystal from Alexandria. Energies are from PBE.

CIF file:
```
data_SmTaGe2
_symmetry_space_group_name_H-M 'R -3 m'
_symmetry_Int_Tables_number 166
_symmetry_space_group_name_Hall '-R 3 2"'
_cell_length_a 3.9348
_cell_length_b 3.9348
_cell_length_c 19.4619
_cell_angle_alpha 90.00
_cell_angle_beta 90.00
_cell_angle_gamma 120.00
loop_
_atom_site_label
_atom_site_type_symbol
_atom_site_fract_x
_atom_site_fract_y
_atom_site_fract_z
Sm1 Sm 0.0000 0.0000 0.0000
Ta1 Ta 0.0000 0.0000 0.5000
Ge1 Ge 0.0000 0.0000 0.2384
```

energy of formation from the pure elements: -0.426 eV/atom


Here is a relaxed Ac2NiH6Rh crystal from Alexandria. Energies are from PBE.

CIF file:
```
data_Ac2NiH6Rh
_symmetry_space_group_name_H-M 'I 4/m m m'
_symmetry_Int_Tables_number 139
_symmetry_space_group_name_Hall '-I 4 2'
_cell_length_a 5.279
_cell_length_b 5.279
_cell_length_c 8.335
_cell_angle_alpha 90.00
_cell_angle_beta 90.00
_cell_angle_gamma 90.00
loop_
_atom_site_label
_atom_site_type_symbol
_atom_site_fract_x
_atom_site_fract_y
_atom_site_fract_z
Ac1 Ac 0.000 0.500 0.250
Ni1 Ni 0.000 0.000 0.000
H1 H 0.000 0.000 0.196
H2 H 0.243 0.243 0.500
Rh1 Rh 0.000 0.000 0.500
```

energy: -4.601 eV/atom


Here is a relaxed Cr3IrSe crystal from Alexandria. Energies are from PBE.

CIF file:
```
data_Cr3IrSe
_symmetry_space_group_name_H-M 'P m -3 m'
_symmetry_Int_Tables_number 221
_symmetry_space_group_name_Hall '-P 4 2 3'
_cell_length_a 4.766
_cell_length_b 4.766
_cell_length_c 4.766
_cell_angle_alpha 90.00
_cell_angle_beta 90.00
_cell_angle_gamma 90.00
loop_
_atom_site_label
_atom_site_type_symbol
_atom_site_fract_x
_atom_site_fract_y
_atom_site_fract_z
Cr1 Cr 0.000 0.000 0.500
Ir1 Ir 0.000 0.000 0.000
Se1 Se 0.500 0.500 0.500
```

uncorrected formation energy: 1.019 eV/atom


Here is a relaxed MgCd7Pd4 crystal from Alexandria. Energies are from PBE.

CIF file:
```
data_MgCd7Pd4
_symmetry_space_group_name_H-M 'C 1 2/m 1'
_symmetry_Int_Tables_number 12
_cell_length_a 12.825
_cell_length_b 4.965
_cell_length_c 9.812
_cell_angle_alpha 90.00
_cell_angle_beta 126.87
_cell_angle_gamma 90.00
loop_
_symmetry_equiv_pos_as_xyz
'x,y,z'
'-x,-y,-z'
'-x,y,-z'
'x,-y,z'
'x+1/2,y+1/2,z'
'-x+1/2,-y+1/2,-z'
'-x+1/2,y+1/2,-z'
'x+1/2,-y+1/2,z'
loop_
_atom_site_label
_atom_site_type_symbol
_atom_site_fract_x
_atom_site_fract_y
_atom_site_fract_z
Mg1 Mg 0.000 0.000 0.000
Cd1 Cd 0.000 0.500 0.000
Cd2 Cd 0.070 0.000 0.347
Cd3 Cd 0.161 0.500 0.597
Cd4 Cd 0.216 0.000 0.865
Pd1 Pd 0.070 0.500 0.784
Pd2 Pd 0.196 0.500 0.340
```

energy of formation from the pure elements: -0.145 eV/atom


Here is a relaxed AlOsW2 crystal from Alexandria. Energies are from PBE.

CIF file:
```
data_AlOsW2
_symmetry_space_group_name_H-M 'C 1 m 1'
_symmetry_Int_Tables_number 8
_cell_length_a 9.078
_cell_length_b 2.819
_cell_length_c 4.857
_cell_angle_alpha 90.00
_cell_angle_beta 98.40
_cell_angle_gamma 90.00
loop_
_symmetry_equiv_pos_as_xyz
'x,y,z'
'x,-y,z'
'x+1/2,y+1/2,z'
'x+1/2,-y+1/2,z'
loop_
_atom_site_label
_atom_site_type_symbol
_atom_site_fract_x
_atom_site_fract_y
_atom_site_fract_z
Al1 Al 0.000 0.000 0.000
Os1 Os 0.256 0.000 0.747
W1 W 0.011 0.500 0.510
W2 W 0.254 0.500 0.238
```

energy of formation from the pure elements: 0.085 eV/atom


The following density of states at the Fermi level values (in states/eV/f.u.) correspond, in order, to the records above: 0.000, 11.731, 5.197, 7.921, 3.742, 0.000, 0.000, 1.044, 4.185, 6.177, 4.460, 2.313.